# Si3Au

Crystalline Si3Au at its relaxed geometry (PBE, Alexandria).

The density of states at the Fermi level is 8.31 states/eV/cell. The electronic total energy comes out at -70.10 eV/cell. The calculation puts the energy above the most stable polymorph in this dataset at 246 meV per atom. The crystal system is cubic. As for the density: 7.1 g cm⁻³. For the raw formation energy, the calculation gives 0.5050 eV/atom.

It has space group Fm-3m (No. 225), with a = 6.403 Å, b = 6.403 Å, c = 6.403 Å, α = 90.00°, β = 90.00° and γ = 90.00°. Symmetry generates all atoms from Si at (0.000, 0.000, 0.000), Si at (0.250, 0.250, 0.250) and Au at (0.000, 0.000, 0.500).